1.
In2HgPb: relaxed, PBE.

extended XYZ file:
```
4
Lattice="3.616 0.000 0.000 0.000 5.452 0.000 0.000 0.000 5.686" Properties=species:S:1:pos:R:3 pbc="T T T"
In 0.000 0.000 0.000
In 1.808 0.000 2.843
Hg 0.000 2.726 2.843
Pb 1.808 2.726 0.000
```

## Properties
space-group type: Pmmm, No. 47

2.
In4Hg12Pb: relaxed, PBE.

extended XYZ file:
```
17
Lattice="-5.079 5.079 5.079 5.079 -5.079 5.079 5.079 5.079 -5.079" Properties=species:S:1:pos:R:3 pbc="T T T"
In 2.539 2.539 -2.539
In 2.539 -2.539 2.539
In -2.539 2.539 2.539
In 2.539 2.539 2.539
Hg 3.556 0.000 1.479
Hg 6.602 0.000 1.479
Hg 5.079 3.600 -1.523
Hg 1.479 3.556 0.000
Hg 3.600 -1.523 5.079
Hg 0.000 1.479 3.556
Hg 5.079 3.600 1.523
Hg 1.479 6.602 0.000
Hg 3.600 1.523 5.079
Hg 0.000 1.479 6.602
Hg -1.523 5.079 3.600
Hg 1.523 5.079 3.600
Pb 0.000 0.000 0.000
```

## Properties
space-group type: Im-3, No. 204

3.
InHg4Pb3: relaxed, PBE.

extended XYZ file:
```
8
Lattice="3.825 0.000 0.000 0.000 3.825 0.000 0.000 0.000 15.126" Properties=species:S:1:pos:R:3 pbc="T T T"
In 0.000 0.000 0.000
Hg 1.913 1.913 1.738
Hg 1.913 1.913 5.647
Hg 1.913 1.913 9.479
Hg 1.913 1.913 13.388
Pb 0.000 0.000 3.729
Pb 0.000 0.000 7.563
Pb 0.000 0.000 11.396
```

## Properties
space-group type: P4/mmm, No. 123

4.
InHg4Pb2: relaxed, PBE.

extended XYZ file:
```
7
Lattice="1.691 0.976 19.888 -1.691 0.976 19.888 0.000 -1.953 19.888" Properties=species:S:1:pos:R:3 pbc="T T T"
In 0.000 0.000 0.000
Hg 0.000 0.000 8.559
Hg 0.000 0.000 17.153
Hg 0.000 0.000 42.512
Hg 0.000 0.000 51.106
Pb 0.000 0.000 25.501
Pb 0.000 0.000 34.164
```

## Properties
space-group type: R-3m, No. 166

5.
In2HgPb: relaxed, PBE.

extended XYZ file:
```
4
Lattice="3.365 0.000 0.000 0.000 5.318 0.000 -1.654 0.000 6.287" Properties=species:S:1:pos:R:3 pbc="T T T"
In 0.136 0.000 1.632
In 1.575 0.000 4.655
Hg -0.827 2.659 3.143
Pb 1.683 2.659 0.000
```

## Properties
space-group type: P2/m, No. 10

6.
InHg3Pb4: relaxed, PBE.

extended XYZ file:
```
8
Lattice="4.509 0.000 0.000 0.000 4.576 0.000 0.000 0.000 11.432" Properties=species:S:1:pos:R:3 pbc="T T T"
In 0.000 0.000 0.000
Hg 0.000 2.288 5.633
Hg 2.255 0.000 2.217
Hg 2.255 2.288 7.901
Pb 0.000 0.000 8.235
Pb 0.000 2.288 2.522
Pb 2.255 0.000 5.336
Pb 2.255 2.288 11.003
```

## Properties
space-group type: Pmm2, No. 25

Computed energy of formation (eV/atom) in order:
0.019 0.097 0.024 0.040 0.021 0.045
Computed energy (eV per atom) in order:
-2.3528 -0.9787 -1.8599 -1.5827 -2.3503 -2.2651